# Pr3Cu2Pd7 | Alexandria via LeMat-Bulk | GGA-PBE | relaxed
data_Pr3Cu2Pd7
_chemical_formula_sum 'Pr9 Cu6 Pd21'
_space_group_name_H-M_alt 'R -3 m'
_space_group_IT_number 166
_space_group_name_Hall '-R 3 2"'
_cell_length_a 5.4953
_cell_length_b 5.4953
_cell_length_c 26.0426
_cell_angle_alpha 90.00
_cell_angle_beta 90.00
_cell_angle_gamma 120.00
loop_
_atom_site_label
_atom_site_type_symbol
_atom_site_fract_x
_atom_site_fract_y
_atom_site_fract_z
_atom_site_occupancy
Pr1 Pr 0.0000 0.0000 0.0000 1
Pr2 Pr 0.0000 0.0000 0.1387 1
Cu1 Cu 0.0000 0.0000 0.3335 1
Pd1 Pd 0.0000 0.0000 0.5000 1
Pd2 Pd 0.0024 0.5012 0.9199 1
# Magnetic moment (μB per formula unit): 0.0
# Formation energy from the elements (kJ/mol of formula units): -730